Entry 1:
Entry from Alexandria: a relaxed structure of Sr2CrFeH (PBE).

Summary:
Crystal system: tetragonal
Density of states at the Fermi level: 7.6 states/eV/cell
Electronic total energy: -4.45 eV per atom

a b c (Å): 5.4691 3.8121 5.4691
angles (deg): 90.00 90.00 90.00
Fractional positions:
Sr1 0.0000 0.0000 0.5000
Sr2 0.5000 0.0000 0.0000
Fe1 0.0000 0.5000 0.0000
H1 0.0000 0.0000 0.0000
Cr1 0.5000 0.5000 0.5000

---

Entry 2:
Entry from Alexandria: a relaxed structure of Cr2RePtN (PBE).

Summary:
Crystal system: tetragonal
Density of states at the Fermi level: 4.6 states/eV/cell
Electronic total energy: -9.40 eV per atom

a b c (Å): 3.9041 3.9041 3.9815
angles (deg): 90.00 90.00 90.00
Fractional positions:
Re1 0.0000 0.0000 0.5000
N1 0.0000 0.0000 0.0000
Pt1 0.5000 0.5000 0.5000
Cr1 0.0000 0.5000 0.0000
Cr2 0.5000 0.0000 0.0000

---

Which formula does entry 1 have? Sr2CrFeH